1.
{
  "formula": "Pm5PaRh4",
  "functional": "GGA-PBE",
  "state": "relaxed",
  "lattice_angstrom": [[8.4853, -2.2206, 0.0000], [8.4853, 2.2206, 0.0000], [-2.2459, 0.0000, 6.9371]],
  "species": ["Pm", "Pm", "Pm", "Pm", "Pm", "Pa", "Rh", "Rh", "Rh", "Rh"],
  "fractional_positions": [[0.0000, 0.0000, 0.0000], [0.3279, 0.3279, 0.9397], [0.3315, 0.3315, 0.4453], [0.6685, 0.6685, 0.5547], [0.6721, 0.6721, 0.0603], [0.0000, 0.0000, 0.5000], [0.1429, 0.1429, 0.7884], [0.4943, 0.4943, 0.2836], [0.5057, 0.5057, 0.7164], [0.8571, 0.8571, 0.2116]],
  "formation_energy_ev_per_atom": -0.621,
  "mass_density_g_cm3": 8.69
}



2.
{
  "formula": "Mg4Hg2H",
  "functional": "GGA-PBE",
  "state": "relaxed",
  "lattice_angstrom": [[8.3946, 0.0000, 0.0000], [0.0000, 5.9697, 0.0000], [0.0000, 0.0000, 10.7206]],
  "species": ["Mg", "Mg", "Mg", "Mg", "Mg", "Mg", "Mg", "Mg", "Mg", "Mg", "Mg", "Mg", "Mg", "Mg", "Mg", "Mg", "Hg", "Hg", "Hg", "Hg", "Hg", "Hg", "Hg", "Hg", "H", "H", "H", "H"],
  "fractional_positions": [[0.0327, 0.2500, 0.0971], [0.1724, 0.2500, 0.5939], [0.1837, 0.5029, 0.3385], [0.1837, 0.9971, 0.3385], [0.3163, 0.0029, 0.8385], [0.3163, 0.4971, 0.8385], [0.3276, 0.7500, 0.0939], [0.4673, 0.7500, 0.5971], [0.5327, 0.2500, 0.4029], [0.6724, 0.2500, 0.9061], [0.6837, 0.5029, 0.1615], [0.6837, 0.9971, 0.1615], [0.8163, 0.0029, 0.6615], [0.8163, 0.4971, 0.6615], [0.8276, 0.7500, 0.4061], [0.9673, 0.7500, 0.9029], [0.0145, 0.2500, 0.8335], [0.1171, 0.7500, 0.6012], [0.3829, 0.2500, 0.1012], [0.4855, 0.7500, 0.3335], [0.5145, 0.2500, 0.6665], [0.6171, 0.7500, 0.8988], [0.8829, 0.2500, 0.3988], [0.9855, 0.7500, 0.1665], [0.2128, 0.7500, 0.9236], [0.2872, 0.2500, 0.4236], [0.7128, 0.7500, 0.5764], [0.7872, 0.2500, 0.0764]],
  "relative_energy_ev_per_fu": 0.00,
  "mass_density_g_cm3": 6.17
}



3.
{
  "formula": "LaPmCdGe",
  "functional": "GGA-PBE",
  "state": "relaxed",
  "lattice_angstrom": [[7.5581, 0.0000, 0.0000], [0.0000, 7.5581, 0.0000], [0.0000, 0.0000, 7.5581]],
  "species": ["La", "La", "La", "La", "Pm", "Pm", "Pm", "Pm", "Cd", "Cd", "Cd", "Cd", "Ge", "Ge", "Ge", "Ge"],
  "fractional_positions": [[0.0000, 0.0000, 0.0000], [0.0000, 0.5000, 0.5000], [0.5000, 0.0000, 0.5000], [0.5000, 0.5000, 0.0000], [0.0000, 0.0000, 0.5000], [0.0000, 0.5000, 0.0000], [0.5000, 0.0000, 0.0000], [0.5000, 0.5000, 0.5000], [0.2500, 0.2500, 0.2500], [0.2500, 0.7500, 0.7500], [0.7500, 0.2500, 0.7500], [0.7500, 0.7500, 0.2500], [0.2500, 0.2500, 0.7500], [0.2500, 0.7500, 0.2500], [0.7500, 0.2500, 0.2500], [0.7500, 0.7500, 0.7500]],
  "formation_energy_ev_per_atom": -0.504,
  "mass_density_g_cm3": 7.21
}



4.
{
  "formula": "CaDyOs4",
  "functional": "GGA-PBE",
  "state": "relaxed",
  "lattice_angstrom": [[0.0000, 3.7865, 3.7865], [3.7865, 0.0000, 3.7865], [3.7865, 3.7865, 0.0000]],
  "species": ["Ca", "Dy", "Os", "Os", "Os", "Os"],
  "fractional_positions": [[0.0000, 0.0000, 0.0000], [0.7500, 0.7500, 0.7500], [0.3750, 0.3750, 0.3750], [0.3750, 0.3750, 0.8751], [0.3750, 0.8751, 0.3750], [0.8751, 0.3750, 0.3750]],
  "formation_energy_ev_per_atom": -0.066,
  "mass_density_g_cm3": 14.73
}



5.
{
  "formula": "TaTl",
  "functional": "GGA-PBE",
  "state": "relaxed",
  "lattice_angstrom": [[11.7254, 0.0000, 0.0000], [0.0000, 3.0006, 0.0000], [-2.2814, 0.0000, 4.7394]],
  "species": ["Ta", "Ta", "Ta", "Ta", "Tl", "Tl", "Tl", "Tl"],
  "fractional_positions": [[0.1347, 0.0000, 0.2941], [0.3653, 0.5000, 0.7059], [0.6347, 0.5000, 0.2941], [0.8653, 0.0000, 0.7059], [0.1174, 0.5000, 0.7824], [0.3826, 0.0000, 0.2176], [0.6174, 0.0000, 0.7824], [0.8826, 0.5000, 0.2176]],
  "relative_energy_ev_per_fu": 0.37,
  "formation_energy_ev_per_atom": 0.642,
  "mass_density_g_cm3": 15.35
}



6.
{
  "formula": "Ge2BiSe2",
  "functional": "GGA-PBE",
  "state": "relaxed",
  "lattice_angstrom": [[5.3831, 0.0000, 0.0000], [0.0000, 5.3831, 0.0000], [0.0000, 0.0000, 8.4854]],
  "species": ["Ge", "Ge", "Ge", "Ge", "Bi", "Bi", "Se", "Se", "Se", "Se"],
  "fractional_positions": [[0.0000, 0.0000, 0.1565], [0.0000, 0.0000, 0.8435], [0.5000, 0.5000, 0.3435], [0.5000, 0.5000, 0.6565], [0.0000, 0.0000, 0.5000], [0.5000, 0.5000, 0.0000], [0.0000, 0.5000, 0.2500], [0.0000, 0.5000, 0.7500], [0.5000, 0.0000, 0.2500], [0.5000, 0.0000, 0.7500]],
  "formation_energy_uncorrected_ev_per_atom": 0.10,
  "relative_energy_ev_per_fu": 0.24,
  "mass_density_g_cm3": 6.92
}



Copy entry 5 word for word.
{
  "formula": "TaTl",
  "functional": "GGA-PBE",
  "state": "relaxed",
  "lattice_angstrom": [[11.7254, 0.0000, 0.0000], [0.0000, 3.0006, 0.0000], [-2.2814, 0.0000, 4.7394]],
  "species": ["Ta", "Ta", "Ta", "Ta", "Tl", "Tl", "Tl", "Tl"],
  "fractional_positions": [[0.1347, 0.0000, 0.2941], [0.3653, 0.5000, 0.7059], [0.6347, 0.5000, 0.2941], [0.8653, 0.0000, 0.7059], [0.1174, 0.5000, 0.7824], [0.3826, 0.0000, 0.2176], [0.6174, 0.0000, 0.7824], [0.8826, 0.5000, 0.2176]],
  "relative_energy_ev_per_fu": 0.37,
  "formation_energy_ev_per_atom": 0.642,
  "mass_density_g_cm3": 15.35
}